Here is a relaxed TcMo2Pb crystal from the Alexandria database. Energies are from PBE-GGA.

abc: 5.359 5.359 5.359
angles: 143.57 130.49 63.01
Sites, in units of the cell vectors:
1 Mo 0.004 0.004 0.000
2 Mo 0.239 0.739 0.500
3 Pb 0.500 0.500 0.000
4 Tc 0.757 0.257 0.500

symmetry	Imm2, No. 44
formation energy	0.527	eV/atom

---

Here is a relaxed La2Nd3Dy7 crystal from the Alexandria database. Energies are from PBE-GGA.

abc: 3.612 5.895 19.648
angles: 104.28 90.00 90.00
Sites, in units of the cell vectors:
1 La 0.500 0.582 0.293
2 La 0.500 0.418 0.707
3 Nd 0.500 0.500 0.000
4 Nd 0.000 0.147 0.370
5 Nd 0.000 0.853 0.630
6 Dy 0.500 0.719 0.462
7 Dy 0.500 0.281 0.538
8 Dy 0.000 0.452 0.141
9 Dy 0.000 0.000 0.000
10 Dy 0.000 0.548 0.859
11 Dy 0.500 0.021 0.830
12 Dy 0.500 0.979 0.170

ΔE to the lowest computed polymorph	3	meV/atom
symmetry	P2/m, No. 10
formation energy	0.089	eV/atom

---

Here is a relaxed KCdHgAu crystal from the Alexandria database. Energies are from PBE-GGA.

abc: 5.349 5.349 5.349
angles: 60.00 60.00 60.00
Sites, in units of the cell vectors:
1 K 0.250 0.250 0.250
2 Au 0.000 0.000 0.000
3 Hg 0.500 0.500 0.500
4 Cd 0.750 0.750 0.750

ΔE to the lowest computed polymorph	93	meV/atom
symmetry	F-43m, No. 216
formation energy	-0.118	eV/atom

---

Here is a relaxed MgTiPd14 crystal from the Alexandria database. Energies are from PBE-GGA.

abc: 5.609 5.609 7.818
angles: 90.00 90.00 90.00
Sites, in units of the cell vectors:
1 Mg 0.375 0.375 0.500
2 Ti 0.875 0.875 0.500
3 Pd 0.875 0.875 0.000
4 Pd 0.375 0.375 0.000
5 Pd 0.875 0.375 0.500
6 Pd 0.875 0.375 0.000
7 Pd 0.375 0.875 0.500
8 Pd 0.375 0.875 0.000
9 Pd 0.628 0.122 0.255
10 Pd 0.628 0.122 0.745
11 Pd 0.122 0.628 0.255
12 Pd 0.122 0.628 0.745
13 Pd 0.628 0.628 0.255
14 Pd 0.628 0.628 0.745
15 Pd 0.122 0.122 0.255
16 Pd 0.122 0.122 0.745

symmetry	P4/mmm, No. 123
formation energy	-0.289	eV/atom

---

Here is a relaxed TbHo3Os crystal from the Alexandria database. Energies are from PBE-GGA.

abc: 7.738 7.132 10.394
angles: 97.38 90.00 90.00
Sites, in units of the cell vectors:
1 Tb 0.982 0.720 0.243
2 Tb 0.018 0.280 0.757
3 Tb 0.482 0.280 0.257
4 Tb 0.518 0.720 0.743
5 Ho 0.152 0.104 0.429
6 Ho 0.848 0.896 0.571
7 Ho 0.652 0.896 0.071
8 Ho 0.348 0.104 0.929
9 Ho 0.499 0.799 0.352
10 Ho 0.501 0.201 0.648
11 Ho 0.999 0.201 0.148
12 Ho 0.001 0.799 0.852
13 Ho 0.197 0.591 0.530
14 Ho 0.803 0.409 0.470
15 Ho 0.697 0.409 0.970
16 Ho 0.303 0.591 0.030
17 Os 0.216 0.953 0.667
18 Os 0.784 0.047 0.333
19 Os 0.716 0.047 0.833
20 Os 0.284 0.953 0.167

ΔE to the lowest computed polymorph	0	meV/atom
symmetry	P2_1/c, No. 14
formation energy	-0.121	eV/atom

---

Here is a relaxed SrLiTbPt crystal from the Alexandria database. Energies are from PBE-GGA.

abc: 5.144 5.144 5.144
angles: 60.00 60.00 60.00
Sites, in units of the cell vectors:
1 Sr 0.500 0.500 0.500
2 Tb 0.000 0.000 0.000
3 Pt 0.750 0.750 0.750
4 Li 0.250 0.250 0.250

symmetry	F-43m, No. 216
formation energy	-0.453	eV/atom

---

Here is a relaxed La2PrCoAg crystal from the Alexandria database. Energies are from PBE-GGA.

abc: 5.220 5.220 5.554
angles: 90.00 90.00 90.00
Sites, in units of the cell vectors:
1 La 0.000 0.500 0.994
2 La 0.500 0.000 0.994
3 Pr 0.000 0.000 0.498
4 Co 0.000 0.000 0.999
5 Ag 0.500 0.500 0.515

symmetry	P4mm, No. 99
formation energy	-0.038	eV/atom

---

Here is a relaxed Y2Cr crystal from the Alexandria database. Energies are from PBE-GGA.

abc: 5.074 5.074 3.318
angles: 90.00 90.00 90.00
Each line ends with the local moment (μB).
Sites, in units of the cell vectors:
1 Cr 0.000 0.000 0.000  3.01
2 Y 0.000 0.500 0.500  -0.10
3 Y 0.500 0.000 0.500  -0.10

symmetry	P4/mmm, No. 123
formation energy	0.497	eV/atom

---

Here is a relaxed CuTc5 crystal from the Alexandria database. Energies are from PBE-GGA.

abc: 5.053 5.053 5.053
angles: 60.00 60.00 60.00
Sites, in units of the cell vectors:
1 Cu 0.000 0.000 0.000
2 Tc 0.250 0.250 0.250
3 Tc 0.626 0.122 0.626
4 Tc 0.122 0.626 0.626
5 Tc 0.626 0.626 0.122
6 Tc 0.626 0.626 0.626

ΔE to the lowest computed polymorph	339	meV/atom
symmetry	F-43m, No. 216
formation energy	0.412	eV/atom

---

Here is a relaxed Ca2ReBr crystal from the Alexandria database. Energies are from PBE-GGA.

abc: 6.398 6.398 6.398
angles: 141.09 141.09 56.20
Each line ends with the local moment (μB).
Sites, in units of the cell vectors:
1 Re 0.500 0.500 0.000  1.92
2 Ca 0.000 0.000 0.000  -0.03
3 Ca 0.250 0.750 0.500  -0.04
4 Br 0.750 0.250 0.500  0.04

ΔE to the lowest computed polymorph	555	meV/atom
symmetry	I-4m2, No. 119
formation energy from raw total energies	470	meV/atom

---

Here is a relaxed LiSc2TiH crystal from the Alexandria database. Energies are from PBE-GGA.

abc: 5.283 3.422 5.283
angles: 90.00 90.00 90.00
Sites, in units of the cell vectors:
1 Sc 0.000 0.000 0.500
2 Sc 0.500 0.000 0.000
3 H 0.000 0.500 0.000
4 Li 0.500 0.500 0.500
5 Ti 0.000 0.000 0.000

ΔE to the lowest computed polymorph	433	meV/atom
symmetry	P4/mmm, No. 123

---

Here is a relaxed LiNbHg2 crystal from the Alexandria database. Energies are from PBE-GGA.

abc: 2.962 5.109 5.109
angles: 90.00 90.00 90.00
Sites, in units of the cell vectors:
1 Nb 0.500 0.000 0.000
2 Hg 0.000 0.000 0.500
3 Hg 0.000 0.500 0.000
4 Li 0.500 0.500 0.500

symmetry	P4/mmm, No. 123
formation energy	0.018	eV/atom

---

Here is a relaxed Nd4Ho5Ag crystal from the Alexandria database. Energies are from PBE-GGA.

abc: 3.603 3.603 24.078
angles: 90.00 90.00 90.00
Sites, in units of the cell vectors:
1 Nd 0.000 0.000 0.184
2 Nd 0.000 0.000 0.395
3 Nd 0.000 0.000 0.605
4 Nd 0.000 0.000 0.816
5 Ho 0.500 0.500 0.077
6 Ho 0.500 0.500 0.289
7 Ho 0.500 0.500 0.500
8 Ho 0.500 0.500 0.711
9 Ho 0.500 0.500 0.923
10 Ag 0.000 0.000 0.000

symmetry	P4/mmm, No. 123
formation energy	-0.044	eV/atom

---

Here is a relaxed HfCCl3 crystal from the Alexandria database. Energies are from PBE-GGA.

abc: 4.948 4.948 4.948
angles: 90.00 90.00 90.00
Each line ends with the local moment (μB).
Sites, in units of the cell vectors:
1 C 0.500 0.500 0.500  1.06
2 Hf 0.000 0.000 0.000  0.17
3 Cl 0.000 0.500 0.000  0.00
4 Cl 0.000 0.000 0.500  0.02
5 Cl 0.500 0.000 0.000  0.01

ΔE to the lowest computed polymorph	0	meV/atom
symmetry	Pm-3m, No. 221
formation energy from raw total energies	287	meV/atom

---

Here is a relaxed NdGa3CoIr crystal from the Alexandria database. Energies are from PBE-GGA.

abc: 5.673 7.594 6.546
angles: 125.45 90.00 90.00
Sites, in units of the cell vectors:
1 Nd 0.750 0.283 0.566
2 Nd 0.250 0.717 0.434
3 Ga 0.250 0.182 0.365
4 Ga 0.000 0.251 0.000
5 Ga 0.500 0.749 0.000
6 Ga 0.500 0.251 0.000
7 Ga 0.000 0.749 0.000
8 Ga 0.750 0.818 0.635
9 Co 0.250 0.970 0.939
10 Co 0.750 0.030 0.061
11 Ir 0.250 0.410 0.820
12 Ir 0.750 0.590 0.180

symmetry	Cmcm, No. 63
formation energy	-0.364	eV/atom

---

Here is a relaxed Sc2InRh crystal from the Alexandria database. Energies are from PBE-GGA.

abc: 8.983 8.983 8.983
angles: 21.35 21.35 21.35
Sites, in units of the cell vectors:
1 In 0.250 0.250 0.250
2 Rh 0.750 0.750 0.750
3 Sc 0.013 0.013 0.013
4 Sc 0.487 0.487 0.487

symmetry	R-3m, No. 166
formation energy	-0.499	eV/atom

---

Here is a relaxed SnAsPd crystal from the Alexandria database. Energies are from PBE-GGA.

abc: 4.447 4.119 4.119
angles: 120.00 90.00 90.00
Sites, in units of the cell vectors:
1 As 0.234 0.333 0.667
2 Sn 0.713 0.667 0.333
3 Pd 0.053 0.000 0.000

ΔE to the lowest computed polymorph	178	meV/atom
symmetry	P3m1, No. 156
formation energy	-0.173	eV/atom

---

Here is a relaxed InSiCl crystal from the Alexandria database. Energies are from PBE-GGA.

abc: 3.766 6.334 8.205
angles: 67.31 89.95 72.81
Sites, in units of the cell vectors:
1 Si 0.759 0.902 0.316
2 Si 0.338 0.744 0.220
3 Cl 0.215 0.988 0.937
4 Cl 0.875 0.666 0.599
5 In 0.074 0.279 0.378
6 In 0.502 0.425 0.014

symmetry	P1, No. 1
formation energy from raw total energies	-213	meV/atom

---

Here is a relaxed AuSe2Br crystal from the Alexandria database. Energies are from PBE-GGA.

abc: 8.212 8.212 8.212
angles: 28.55 28.55 28.55
Sites, in units of the cell vectors:
1 Au 0.500 0.500 0.500
2 Se 0.888 0.888 0.888
3 Se 0.112 0.112 0.112
4 Br 0.000 0.000 0.000

symmetry	R-3m, No. 166
formation energy from raw total energies	23	meV/atom

---

Here is a relaxed Ba2FeBr crystal from the Alexandria database. Energies are from PBE-GGA.

abc: 5.838 5.838 5.838
angles: 125.89 114.71 89.76
Each line ends with the local moment (μB).
Sites, in units of the cell vectors:
1 Ba 0.008 0.008 0.000  -0.15
2 Ba 0.492 0.492 0.000  -0.15
3 Br 0.750 0.250 0.500  -0.01
4 Fe 0.250 0.750 0.500  2.65

ΔE to the lowest computed polymorph	196	meV/atom
symmetry	Immm, No. 71
formation energy from raw total energies	-117	meV/atom

---

Here is a relaxed La2TlTe crystal from the Alexandria database. Energies are from PBE-GGA.

abc: 8.150 5.627 3.972
angles: 90.06 60.75 123.48
Sites, in units of the cell vectors:
1 La 0.000 0.000 0.000
2 La 0.500 0.000 0.500
3 Te 0.000 0.500 0.500
4 Tl 0.500 0.500 0.000

ΔE to the lowest computed polymorph	139	meV/atom
symmetry	Cmmm, No. 65
formation energy from raw total energies	-866	meV/atom

---

Here is a relaxed NaRh3Br crystal from the Alexandria database. Energies are from PBE-GGA.

abc: 4.714 4.714 4.714
angles: 90.00 90.00 90.00
Each line ends with the local moment (μB).
Sites, in units of the cell vectors:
1 Na 0.000 0.000 0.000  -0.02
2 Rh 0.000 0.500 0.000  1.35
3 Rh 0.000 0.000 0.500  1.04
4 Rh 0.500 0.000 0.000  1.07
5 Br 0.500 0.500 0.500  0.15

ΔE to the lowest computed polymorph	995	meV/atom
symmetry	Pm-3m, No. 221
formation energy from raw total energies	1766	meV/atom

---

Here is a relaxed Zn2MoOs crystal from the Alexandria database. Energies are from PBE-GGA.

abc: 4.852 4.852 4.450
angles: 75.52 75.52 35.83
Sites, in units of the cell vectors:
1 Mo 0.250 0.250 0.250
2 Os 0.750 0.750 0.750
3 Zn 0.004 0.004 0.993
4 Zn 0.496 0.496 0.507

ΔE to the lowest computed polymorph	159	meV/atom
symmetry	C2/m, No. 12
formation energy	0.206	eV/atom

---

Here is a relaxed CaZnCd2 crystal from the Alexandria database. Energies are from PBE-GGA.

abc: 4.201 4.201 10.856
angles: 90.00 90.00 90.00
Sites, in units of the cell vectors:
1 Ca 0.500 0.000 0.236
2 Ca 0.000 0.500 0.764
3 Zn 0.500 0.000 0.676
4 Zn 0.000 0.500 0.324
5 Cd 0.500 0.000 0.931
6 Cd 0.000 0.500 0.069
7 Cd 0.000 0.000 0.500
8 Cd 0.500 0.500 0.500

symmetry	P4/nmm, No. 129
formation energy	-0.227	eV/atom

---

Here is a relaxed NdTm12Sc7 crystal from the Alexandria database. Energies are from PBE-GGA.

abc: 9.395 9.395 9.395
angles: 109.47 109.47 109.47
Sites, in units of the cell vectors:
1 Nd 0.000 0.000 0.000
2 Tm 0.474 0.737 0.738
3 Tm 0.999 0.737 0.262
4 Tm 0.526 0.263 0.262
5 Tm 0.001 0.263 0.738
6 Tm 0.738 0.001 0.263
7 Tm 0.738 0.474 0.737
8 Tm 0.262 0.999 0.737
9 Tm 0.262 0.526 0.263
10 Tm 0.737 0.738 0.474
11 Tm 0.263 0.262 0.526
12 Tm 0.737 0.262 0.999
13 Tm 0.263 0.738 0.001
14 Sc 0.500 0.500 0.000
15 Sc 0.000 0.500 0.500
16 Sc 0.500 0.000 0.500
17 Sc 0.500 0.500 0.500
18 Sc 0.000 0.000 0.500
19 Sc 0.500 0.000 0.000
20 Sc 0.000 0.500 0.000

ΔE to the lowest computed polymorph	416	meV/atom
symmetry	Im-3, No. 204
formation energy	0.687	eV/atom